Record 1
Mg2FeRh: relaxed, GGA-PBE. Values from VASP.

Results
As for the calculated total energy: -4.728 eV per atom. For the energy of formation, the calculation gives 0.02 eV/atom. For the calculated volume, the calculation gives 15.6 Å³ per atom.

The structure in Quantum ESPRESSO input format:
```
&SYSTEM
  ibrav = 0, nat = 4, ntyp = 3
/
ATOMIC_SPECIES
Mg 24.30 Mg.upf
Rh 102.91 Rh.upf
Fe 55.84 Fe.upf
CELL_PARAMETERS angstrom
-0.6449 -5.3242 7.0508
2.0107 -4.2944 7.4827
-0.2786 -2.8045 8.3984
ATOMIC_POSITIONS crystal
Mg 0.9981 0.9981 0.9981
Rh 0.2500 0.2500 0.2500
Mg 0.5019 0.5019 0.5019
Fe 0.7500 0.7500 0.7500
```


Record 2
Cd2MoIr: relaxed, GGA-PBE. Values from VASP.

Results
As for the calculated total energy: -5.256 eV per atom. For the energy of formation, the calculation gives 0.12 eV/atom. For the calculated volume, the calculation gives 18.0 Å³ per atom.

The structure in Quantum ESPRESSO input format:
```
&SYSTEM
  ibrav = 0, nat = 4, ntyp = 3
/
ATOMIC_SPECIES
Ir 192.22 Ir.upf
Cd 112.41 Cd.upf
Mo 95.94 Mo.upf
CELL_PARAMETERS angstrom
-1.1938 0.9610 2.4603
2.4462 -2.0636 1.9931
4.2055 5.0506 0.0678
ATOMIC_POSITIONS crystal
Ir 0.0000 0.0000 0.5338
Cd 0.5000 0.5000 0.2647
Mo 0.5000 0.5000 0.7145
Cd 0.0000 0.0000 0.9870
```


Record 3
CaMg2HgH: relaxed, GGA-PBE. Values from VASP.

Results
As for the calculated total energy: -1.996 eV per atom. For the calculated volume, the calculation gives 19.5 Å³ per atom.

The structure in Quantum ESPRESSO input format:
```
&SYSTEM
  ibrav = 0, nat = 5, ntyp = 4
/
ATOMIC_SPECIES
Mg 24.30 Mg.upf
Hg 200.59 Hg.upf
Ca 40.08 Ca.upf
H 1.01 H.upf
CELL_PARAMETERS angstrom
-4.2338 1.6442 0.4767
-1.1622 -1.8268 -4.0210
-1.2878 -3.9434 2.1638
ATOMIC_POSITIONS crystal
Mg 0.0000 0.5000 0.0000
Hg 0.5000 0.5000 0.5000
Ca 0.0000 0.0000 0.5000
H 0.0000 0.0000 0.0000
Mg 0.5000 0.0000 0.0000
```